Entry 1:
Below is a crystal of HfPO2F relaxed with PBEsol, with properties calculated at the meta-GGA SCAN level.

Lattice parameters (Å, degrees): 3.7200 3.7200 4.3115 90.00 90.00 90.00
Fractional positions:
1 Hf 0.0000 0.0000 0.0000
2 P 0.5000 0.5000 0.5000
3 O 0.0000 0.5000 0.5000
4 O 0.5000 0.0000 0.5000
5 F 0.5000 0.5000 0.0000

As for the electronic total energy: -92.34 eV per cell. Its energy relative to the elements, uncorrected is -654 meV/atom. The symmetry is P4/mmm (123). As for the crystal system: tetragonal.

Entry 2:
Below is a crystal of HfPO2F relaxed with PBEsol, with properties calculated at the meta-GGA SCAN level.

Lattice parameters (Å, degrees): 3.9069 3.9069 5.5197 90.00 90.00 90.00
Fractional positions:
1 Hf 0.0000 0.0000 0.0000
2 P 0.0000 0.0000 0.5000
3 O 0.0000 0.5000 0.0000
4 O 0.5000 0.0000 0.0000
5 F 0.5000 0.5000 0.5000

As for the electronic total energy: -96.12 eV per cell. Its energy relative to the elements, uncorrected is -1409 meV/atom. The symmetry is P4/mmm (123). As for the crystal system: tetragonal.

Entry 3:
Below is a crystal of HfPbO2F relaxed with PBEsol, with properties calculated at the meta-GGA SCAN level.

Lattice parameters (Å, degrees): 4.3411 4.3411 4.3886 90.00 90.00 90.00
Fractional positions:
1 Hf 0.0000 0.0000 0.0000
2 Pb 0.5000 0.5000 0.5000
3 O 0.0000 0.5000 0.5000
4 O 0.5000 0.0000 0.5000
5 F 0.5000 0.5000 0.0000

As for the electronic total energy: -156.58 eV per cell. Its energy relative to the elements, uncorrected is -425 meV/atom. The symmetry is P4/mmm (123). As for the crystal system: tetragonal.

Entry 4:
Below is a crystal of Rb2Hf3OF12 relaxed with PBEsol, with properties calculated at the meta-GGA SCAN level.

Lattice parameters (Å, degrees): 10.8137 10.8137 10.8137 41.37 41.37 41.37
Fractional positions:
1 Rb 0.0000 0.0000 0.0000
2 Rb 0.1382 0.1382 0.1382
3 Rb 0.5000 0.5000 0.5000
4 Rb 0.8618 0.8618 0.8618
5 Hf 0.0288 0.5755 0.5755
6 Hf 0.4245 0.4245 0.9712
7 Hf 0.4245 0.9712 0.4245
8 Hf 0.5755 0.0288 0.5755
9 Hf 0.5755 0.5755 0.0288
10 Hf 0.9712 0.4245 0.4245
11 O 0.2879 0.2879 0.2879
12 O 0.7121 0.7121 0.7121
13 F 0.0000 0.3514 0.6486
14 F 0.0000 0.6486 0.3514
15 F 0.0823 0.6486 0.6486
16 F 0.0896 0.0896 0.5985
17 F 0.0896 0.5985 0.0896
18 F 0.2929 0.2929 0.6287
19 F 0.2929 0.6287 0.2929
20 F 0.3514 0.0000 0.6486
21 F 0.3514 0.3514 0.9177
22 F 0.3514 0.6486 0.0000
23 F 0.3514 0.9177 0.3514
24 F 0.3713 0.7071 0.7071
25 F 0.4015 0.9104 0.9104
26 F 0.5985 0.0896 0.0896
27 F 0.6287 0.2929 0.2929
28 F 0.6486 0.0000 0.3514
29 F 0.6486 0.0823 0.6486
30 F 0.6486 0.3514 0.0000
31 F 0.6486 0.6486 0.0823
32 F 0.7071 0.3713 0.7071
33 F 0.7071 0.7071 0.3713
34 F 0.9104 0.4015 0.9104
35 F 0.9104 0.9104 0.4015
36 F 0.9177 0.3514 0.3514

As for the electronic total energy: -696.41 eV per cell. Its energy relative to the elements, uncorrected is -3889 meV/atom. The symmetry is R-3m (166). As for the crystal system: trigonal.

Entry 5:
Below is a crystal of HfSO2F relaxed with PBEsol, with properties calculated at the meta-GGA SCAN level.

Lattice parameters (Å, degrees): 4.0933 4.0933 4.1085 90.00 90.00 90.00
Fractional positions:
1 Hf 0.0000 0.0000 0.0000
2 S 0.5000 0.5000 0.5000
3 O 0.0000 0.5000 0.0000
4 O 0.5000 0.0000 0.0000
5 F 0.0000 0.0000 0.5000

As for the electronic total energy: -98.39 eV per cell. Its energy relative to the elements, uncorrected is -2017 meV/atom. The symmetry is P4/mmm (123). As for the crystal system: tetragonal.

Entry 6:
Below is a crystal of HfSbO2F relaxed with PBEsol, with properties calculated at the meta-GGA SCAN level.

Lattice parameters (Å, degrees): 4.2668 4.2668 4.2919 90.00 90.00 90.00
Fractional positions:
1 Hf 0.0000 0.0000 0.0000
2 Sb 0.5000 0.5000 0.5000
3 O 0.0000 0.5000 0.5000
4 O 0.5000 0.0000 0.5000
5 F 0.5000 0.5000 0.0000

As for the electronic total energy: -118.64 eV per cell. Its energy relative to the elements, uncorrected is -542 meV/atom. The symmetry is P4/mmm (123). As for the crystal system: tetragonal.

Entry 7:
Below is a crystal of HfTaO2F relaxed with PBEsol, with properties calculated at the meta-GGA SCAN level.

Lattice parameters (Å, degrees): 3.9848 3.9848 4.1617 90.00 90.00 90.00
Fractional positions:
1 Hf 0.0000 0.0000 0.0000
2 Ta 0.5000 0.5000 0.5000
3 O 0.0000 0.5000 0.5000
4 O 0.5000 0.0000 0.5000
5 F 0.5000 0.5000 0.0000

As for the electronic total energy: -152.27 eV per cell. Its energy relative to the elements, uncorrected is -1402 meV/atom. The symmetry is P4/mmm (123). As for the crystal system: tetragonal.

Entry 8:
Below is a crystal of HfTaOF2 relaxed with PBEsol, with properties calculated at the meta-GGA SCAN level.

Lattice parameters (Å, degrees): 4.2562 4.2562 3.9338 90.00 90.00 90.00
Fractional positions:
1 Hf 0.0000 0.0000 0.0000
2 Ta 0.5000 0.5000 0.5000
3 O 0.5000 0.5000 0.0000
4 F 0.0000 0.5000 0.5000
5 F 0.5000 0.0000 0.5000

As for the electronic total energy: -148.07 eV per cell. Its energy relative to the elements, uncorrected is -1100 meV/atom. The symmetry is P4/mmm (123). As for the crystal system: tetragonal.

Entry 9:
Below is a crystal of YHfOF2 relaxed with PBEsol, with properties calculated at the meta-GGA SCAN level.

Lattice parameters (Å, degrees): 4.3063 4.3063 4.4586 90.00 90.00 90.00
Fractional positions:
1 Y 0.0000 0.0000 0.0000
2 Hf 0.5000 0.5000 0.5000
3 O 0.0000 0.0000 0.5000
4 F 0.0000 0.5000 0.0000
5 F 0.5000 0.0000 0.0000

As for the electronic total energy: -114.39 eV per cell. Its energy relative to the elements, uncorrected is -2112 meV/atom. The symmetry is P4/mmm (123). As for the crystal system: tetragonal.

Entry 10:
Below is a crystal of Hf2OsF2 relaxed with PBEsol, with properties calculated at the meta-GGA SCAN level.

Lattice parameters (Å, degrees): 6.9108 6.9108 6.9108 153.14 153.14 38.36
Fractional positions:
1 Hf 0.1261 0.1261 0.0000
2 Hf 0.8739 0.8739 0.0000
3 Os 0.5000 0.5000 0.0000
4 F 0.2500 0.7500 0.5000
5 F 0.7500 0.2500 0.5000

As for the electronic total energy: -215.60 eV per cell. Its energy relative to the elements, uncorrected is -2259 meV/atom. The symmetry is I4/mmm (139). As for the crystal system: tetragonal.

Entry 11:
Below is a crystal of HfPF2 relaxed with PBEsol, with properties calculated at the meta-GGA SCAN level.

Lattice parameters (Å, degrees): 7.9096 7.9096 7.9096 151.79 151.79 40.33
Fractional positions:
1 Hf 0.0000 0.0000 0.0000
2 Hf 0.7500 0.2500 0.5000
3 P 0.2500 0.7500 0.5000
4 P 0.5000 0.5000 0.0000
5 F 0.0214 0.6250 0.8964
6 F 0.3750 0.2714 0.3964
7 F 0.7286 0.1250 0.1036
8 F 0.8750 0.9786 0.6036

As for the electronic total energy: -176.55 eV per cell. Its energy relative to the elements, uncorrected is -2031 meV/atom. The symmetry is I-42d (122). As for the crystal system: tetragonal.

Entry 12:
Below is a crystal of Hf2PPdF relaxed with PBEsol, with properties calculated at the meta-GGA SCAN level.

Lattice parameters (Å, degrees): 4.8092 4.8092 4.3197 90.00 90.00 90.00
Fractional positions:
1 Hf 0.0000 0.5000 0.0000
2 Hf 0.5000 0.0000 0.0000
3 P 0.0000 0.0000 0.0000
4 Pd 0.0000 0.0000 0.5000
5 F 0.5000 0.5000 0.5000

As for the electronic total energy: -173.14 eV per cell. Its energy relative to the elements, uncorrected is -216 meV/atom. The symmetry is P4/mmm (123). As for the crystal system: tetragonal.